1.
Compound: Sm3Er3NiTe2
Source: the Open Quantum Materials Database
Functional: PBE
Structure: optimized geometry

## Properties
* uncorrected energy: -5.15 eV/atom
* space group: P-62m, No. 189
* total magnetization: 0.40 μB/f.u.
* excess energy over the best structure of this formula in the dataset: 0 meV/atom
* V: 243.1 Å³ per cell

Unit cell a=8.4183 b=8.4183 c=3.9617 alpha=90.00 beta=90.00 gamma=120.00
Fractional positions:
Sm (0.0000, 0.5938, 0.0000)
Sm (0.4062, 0.4062, 0.0000)
Sm (0.5938, 0.0000, 0.0000)
Er (0.0000, 0.2341, 0.5000)
Er (0.2341, 0.0000, 0.5000)
Er (0.7659, 0.7659, 0.5000)
Ni (0.0000, 0.0000, 0.0000)
Te (0.3333, 0.6667, 0.5000)
Te (0.6667, 0.3333, 0.5000)

2.
Compound: LiUIn
Source: the Open Quantum Materials Database
Functional: PBE
Structure: optimized geometry

## Properties
* uncorrected energy: -4.24 eV/atom
* space group: F-43m, No. 216
* total magnetization: 3.42 μB/f.u.
* excess energy over the best structure of this formula in the dataset: 358 meV/atom
* V: 90.3 Å³ per cell

Unit cell a=5.0353 b=5.0353 c=5.0353 alpha=60.00 beta=60.00 gamma=60.00
Fractional positions:
Li (0.0000, 0.0000, 0.0000)
U (0.7500, 0.7500, 0.7500)
In (0.5000, 0.5000, 0.5000)

Which formula does entry 2 have?
LiUIn

Look up the excess energy over the best structure of this formula in the dataset of the second one.
358 meV/atom

Please write out number 2 again, unchanged.
Compound: LiUIn
Source: the Open Quantum Materials Database
Functional: PBE
Structure: optimized geometry

## Properties
* uncorrected energy: -4.24 eV/atom
* space group: F-43m, No. 216
* total magnetization: 3.42 μB/f.u.
* excess energy over the best structure of this formula in the dataset: 358 meV/atom
* V: 90.3 Å³ per cell

Unit cell a=5.0353 b=5.0353 c=5.0353 alpha=60.00 beta=60.00 gamma=60.00
Fractional positions:
Li (0.0000, 0.0000, 0.0000)
U (0.7500, 0.7500, 0.7500)
In (0.5000, 0.5000, 0.5000)